[1]
Entry from the Alexandria database: HoTmAl2 after structural relaxation (PBE).

## Properties
M_tot   0.00 μB/cell
Space-group type   No. 225
Energy relative to the elements   -1.6 eV/f.u.

Lattice parameters (Å, degrees): 5.049 5.049 5.049 60.00 60.00 60.00
Element x y z (fractional)
1 Ho 0.000 0.000 0.000
2 Tm 0.500 0.500 0.500
3 Al 0.250 0.250 0.250
4 Al 0.750 0.750 0.750

[2]
Entry from the Alexandria database: HoTm12Al3 after structural relaxation (PBE).

## Properties
M_tot   0.00 μB/cell
Space-group type   No. 123
Energy relative to the elements   -2.1 eV/f.u.

Lattice parameters (Å, degrees): 4.733 4.733 19.218 90.00 90.00 90.00
Element x y z (fractional)
1 Ho 0.000 0.000 0.000
2 Tm 0.000 0.500 0.134
3 Tm 0.000 0.500 0.378
4 Tm 0.000 0.500 0.622
5 Tm 0.000 0.500 0.866
6 Tm 0.500 0.000 0.134
7 Tm 0.500 0.000 0.378
8 Tm 0.500 0.000 0.622
9 Tm 0.500 0.000 0.866
10 Tm 0.500 0.500 0.000
11 Tm 0.500 0.500 0.257
12 Tm 0.500 0.500 0.500
13 Tm 0.500 0.500 0.743
14 Al 0.000 0.000 0.258
15 Al 0.000 0.000 0.500
16 Al 0.000 0.000 0.742

[3]
Entry from the Alexandria database: Ho6Tm8Al after structural relaxation (PBE).

## Properties
M_tot   0.00 μB/cell
Space-group type   No. 147
Energy relative to the elements   1.3 eV/f.u.

Lattice parameters (Å, degrees): 9.746 9.746 5.624 90.00 90.00 120.00
Element x y z (fractional)
1 Ho 0.093 0.619 0.237
2 Ho 0.381 0.474 0.237
3 Ho 0.474 0.093 0.763
4 Ho 0.526 0.907 0.237
5 Ho 0.619 0.526 0.763
6 Ho 0.907 0.381 0.763
7 Tm 0.051 0.785 0.733
8 Tm 0.215 0.267 0.733
9 Tm 0.267 0.051 0.267
10 Tm 0.333 0.667 0.736
11 Tm 0.667 0.333 0.264
12 Tm 0.733 0.949 0.733
13 Tm 0.785 0.733 0.267
14 Tm 0.949 0.215 0.267
15 Al 0.000 0.000 0.000

[4]
Entry from the Alexandria database: Ho12Tm3Al after structural relaxation (PBE).

## Properties
M_tot   0.00 μB/cell
Space-group type   No. 123
Energy relative to the elements   -0.3 eV/f.u.

Lattice parameters (Å, degrees): 4.897 4.897 19.838 90.00 90.00 90.00
Element x y z (fractional)
1 Ho 0.000 0.000 0.000
2 Ho 0.000 0.000 0.244
3 Ho 0.000 0.000 0.500
4 Ho 0.000 0.000 0.756
5 Ho 0.000 0.500 0.118
6 Ho 0.000 0.500 0.372
7 Ho 0.000 0.500 0.628
8 Ho 0.000 0.500 0.882
9 Ho 0.500 0.000 0.118
10 Ho 0.500 0.000 0.372
11 Ho 0.500 0.000 0.628
12 Ho 0.500 0.000 0.882
13 Tm 0.500 0.500 0.247
14 Tm 0.500 0.500 0.500
15 Tm 0.500 0.500 0.753
16 Al 0.500 0.500 0.000

[5]
Entry from the Alexandria database: HoTm3Al3 after structural relaxation (PBE).

## Properties
M_tot   0.00 μB/cell
Space-group type   No. 65
Energy relative to the elements   -1.8 eV/f.u.

Lattice parameters (Å, degrees): 7.144 7.144 6.861 90.00 90.00 90.39
Element x y z (fractional)
1 Ho 0.242 0.242 0.000
2 Ho 0.758 0.758 0.000
3 Tm 0.243 0.243 0.500
4 Tm 0.243 0.757 0.500
5 Tm 0.247 0.753 0.000
6 Tm 0.753 0.247 0.000
7 Tm 0.757 0.243 0.500
8 Tm 0.757 0.757 0.500
9 Al 0.000 0.500 0.253
10 Al 0.000 0.500 0.747
11 Al 0.500 0.000 0.253
12 Al 0.500 0.000 0.747
13 Al 0.500 0.500 0.254
14 Al 0.500 0.500 0.746

[6]
Entry from the Alexandria database: Ho2Tm3Al3 after structural relaxation (PBE).

## Properties
M_tot   0.00 μB/cell
Space-group type   No. 71
Energy relative to the elements   -2.4 eV/f.u.

Lattice parameters (Å, degrees): 11.114 11.114 11.114 161.22 153.52 32.66
Element x y z (fractional)
1 Ho 0.231 0.231 0.000
2 Ho 0.769 0.769 0.000
3 Tm 0.000 0.000 0.000
4 Tm 0.380 0.880 0.500
5 Tm 0.620 0.120 0.500
6 Al 0.115 0.615 0.500
7 Al 0.500 0.500 0.000
8 Al 0.885 0.385 0.500

[7]
Entry from the Alexandria database: HoTm5Al2 after structural relaxation (PBE).

## Properties
M_tot   0.00 μB/cell
Space-group type   No. 71
Energy relative to the elements   -0.8 eV/f.u.

Lattice parameters (Å, degrees): 8.166 8.166 8.166 155.46 103.58 81.69
Element x y z (fractional)
1 Ho 0.000 0.000 0.000
2 Tm 0.137 0.364 0.773
3 Tm 0.409 0.636 0.773
4 Tm 0.500 0.000 0.500
5 Tm 0.591 0.364 0.227
6 Tm 0.863 0.636 0.227
7 Al 0.242 0.742 0.500
8 Al 0.758 0.258 0.500

[8]
Entry from the Alexandria database: Ho3Tm2Al2 after structural relaxation (PBE).

## Properties
M_tot   0.00 μB/cell
Space-group type   No. 166
Energy relative to the elements   -1.4 eV/f.u.

Lattice parameters (Å, degrees): 8.288 8.288 8.288 36.73 36.73 36.73
Element x y z (fractional)
1 Ho 0.000 0.000 0.000
2 Ho 0.153 0.153 0.153
3 Ho 0.847 0.847 0.847
4 Tm 0.419 0.419 0.419
5 Tm 0.581 0.581 0.581
6 Al 0.283 0.283 0.283
7 Al 0.717 0.717 0.717

Question: Number 1 is which compound?
Answer: HoTmAl2

Question: Which formula does entry 6 have?
Answer: Ho2Tm3Al3

Question: Number 1 is which compound?
Answer: HoTmAl2